Entry from the Alexandria database: crystalline PuPa2In at its relaxed geometry (PBE).

As for the raw total energy: -105.2 eV/cell. The formation energy from the elements comes out at 95 kJ/mol of formula units. The calculation puts the energy above the most stable polymorph in this dataset at 22.9 kJ/mol of atoms.

The structure belongs to space group R-3m (No. 166, hexagonal axes); the cell edges are 3.5949, 3.5949 and 25.3355 Å and the angles 90.00°, 90.00° and 120.00°. The asymmetric unit holds Pu at (0.0000, 0.0000, 0.0000), Pa at (0.0000, 0.0000, 0.2683) and In at (0.0000, 0.0000, 0.5000).